ZnCrTc2Os, relaxed, DFT GGA-PBE; VASP energy = -7.061 eV per atom; symmetry = P4/mmm; ΔE_f = 1511 meV per atom; total moment = 1.407 μB per formula unit
1.0
4.7087 0.0000 0.0000
0.0000 4.7087 0.0000
0.0000 0.0000 4.6357
Zn Cr Tc Os
1 1 2 1
Cartesian
0.0000 0.0000 0.0000
2.3544 2.3544 0.0000
0.0000 2.3544 2.3179
2.3544 0.0000 2.3179
2.3544 2.3544 2.3179

---

Cr2TeOs, relaxed, DFT GGA-PBE; VASP energy = -7.891 eV per atom; symmetry = Pmmm; total moment = 4.958 μB per formula unit; formation energy (no corrections) = 513.8 meV per atom
1.0
3.0194 0.0000 0.0000
0.0000 3.7148 0.0000
0.0000 0.0000 5.6547
Cr Te Os
2 1 1
Cartesian
0.0000 0.0000 1.2673
0.0000 0.0000 4.3874
1.5097 1.8574 2.8273
1.5097 1.8574 0.0000